Below is a relaxed ZrCdPb2 crystal, with properties calculated at the PBE level.

a b c (Å): 5.325 5.325 5.325
angles (deg): 60.00 60.00 60.00
Sites, in units of the cell vectors:
Zr (0.000, 0.000, 0.000)
Cd (0.250, 0.250, 0.250)
Pb (0.500, 0.500, 0.500)
Pb (0.750, 0.750, 0.750)

Final energy, eV for the cell shown: -15.80
Space group: F-43m, No. 216


Below is a relaxed KTl2Sb crystal, with properties calculated at the PBE level.

a b c (Å): 5.706 5.703 5.700
angles (deg): 60.05 60.01 59.94
Sites, in units of the cell vectors:
K (0.000, 0.000, 0.000)
Tl (0.250, 0.250, 0.250)
Tl (0.750, 0.750, 0.750)
Sb (0.500, 0.500, 0.500)

Raw formation energy, eV/atom: -0.18
Space group: Fmmm, No. 69


Below is a relaxed Cs3Pu2Br6 crystal, with properties calculated at the PBE level.

a b c (Å): 13.949 13.949 13.949
angles (deg): 155.42 155.42 35.03
Sites, in units of the cell vectors:
Cs (0.000, 0.000, 0.000)
Cs (0.177, 0.177, 0.000)
Cs (0.823, 0.823, 0.000)
Pu (0.425, 0.425, 0.000)
Pu (0.575, 0.575, 0.000)
Br (0.082, 0.582, 0.500)
Br (0.312, 0.312, 0.000)
Br (0.418, 0.918, 0.500)
Br (0.582, 0.082, 0.500)
Br (0.688, 0.688, 0.000)
Br (0.918, 0.418, 0.500)

Raw formation energy, eV/atom: -1.44
Space group: I4/mmm, No. 139


Below is a relaxed Pm12CuPd6 crystal, with properties calculated at the PBE level.

a b c (Å): 8.454 8.454 8.454
angles (deg): 99.50 99.50 99.50
Sites, in units of the cell vectors:
Pm (0.050, 0.679, 0.924)
Pm (0.076, 0.950, 0.321)
Pm (0.179, 0.417, 0.577)
Pm (0.321, 0.076, 0.950)
Pm (0.417, 0.577, 0.179)
Pm (0.423, 0.821, 0.583)
Pm (0.577, 0.179, 0.417)
Pm (0.583, 0.423, 0.821)
Pm (0.679, 0.924, 0.050)
Pm (0.821, 0.583, 0.423)
Pm (0.924, 0.050, 0.679)
Pm (0.950, 0.321, 0.076)
Cu (0.000, 0.000, 0.000)
Pd (0.133, 0.618, 0.310)
Pd (0.310, 0.133, 0.618)
Pd (0.382, 0.690, 0.867)
Pd (0.618, 0.310, 0.133)
Pd (0.690, 0.867, 0.382)
Pd (0.867, 0.382, 0.690)

Final energy, eV for the cell shown: -99.62
Space group: R-3, No. 148


Below is a relaxed BaNd2PtO5 crystal, with properties calculated at the PBE level.

a b c (Å): 7.882 7.882 7.882
angles (deg): 128.93 128.93 75.12
Sites, in units of the cell vectors:
Ba (0.250, 0.250, 0.000)
Ba (0.750, 0.750, 0.000)
Nd (0.173, 0.673, 0.846)
Nd (0.327, 0.173, 0.500)
Nd (0.673, 0.827, 0.500)
Nd (0.827, 0.327, 0.154)
Pt (0.250, 0.750, 0.500)
Pt (0.750, 0.250, 0.500)
O (0.000, 0.000, 0.000)
O (0.019, 0.246, 0.500)
O (0.246, 0.746, 0.227)
O (0.254, 0.481, 0.500)
O (0.481, 0.981, 0.227)
O (0.500, 0.500, 0.000)
O (0.519, 0.019, 0.773)
O (0.746, 0.519, 0.500)
O (0.754, 0.254, 0.773)
O (0.981, 0.754, 0.500)

Raw formation energy, eV/atom: -2.33
E above lowest polymorph, meV/atom: 256
Space group: I4/mcm, No. 140


Below is a relaxed PuInAg2 crystal, with properties calculated at the PBE level.

a b c (Å): 5.420 5.420 3.085
angles (deg): 90.00 90.00 90.00
Sites, in units of the cell vectors:
Pu (0.000, 0.000, 0.000)
In (0.500, 0.500, 0.000)
Ag (0.000, 0.500, 0.500)
Ag (0.500, 0.000, 0.500)

Final energy, eV for the cell shown: -22.40
Space group: P4/mmm, No. 123


Below is a relaxed LiDy2TlS4 crystal, with properties calculated at the PBE level.

a b c (Å): 7.028 7.028 14.061
angles (deg): 90.00 90.00 146.77
Sites, in units of the cell vectors:
Li (0.174, 0.826, 0.750)
Li (0.826, 0.174, 0.250)
Dy (0.366, 0.634, 0.061)
Dy (0.366, 0.634, 0.439)
Dy (0.634, 0.366, 0.561)
Dy (0.634, 0.366, 0.939)
Tl (0.100, 0.900, 0.250)
Tl (0.900, 0.100, 0.750)
S (0.000, 0.000, 0.000)
S (0.000, 0.000, 0.500)
S (0.262, 0.738, 0.605)
S (0.262, 0.738, 0.895)
S (0.422, 0.578, 0.250)
S (0.578, 0.422, 0.750)
S (0.738, 0.262, 0.105)
S (0.738, 0.262, 0.395)

Raw formation energy, eV/atom: -1.65
Space group: Cmcm, No. 63


Below is a relaxed VIn crystal, with properties calculated at the PBE level.

a b c (Å): 4.688 4.688 3.303
angles (deg): 90.00 90.00 97.25
Sites, in units of the cell vectors:
V (0.177, 0.177, 0.000)
V (0.823, 0.823, 0.000)
In (0.291, 0.709, 0.500)
In (0.709, 0.291, 0.500)

Final energy, eV for the cell shown: -22.55
Space group: Cmmm, No. 65


Below is a relaxed K2YCr crystal, with properties calculated at the PBE level.

a b c (Å): 3.536 3.536 13.083
angles (deg): 90.00 90.00 113.25
Sites, in units of the cell vectors:
K (0.000, 0.000, 0.228)
K (0.000, 0.000, 0.772)
Y (0.500, 0.500, 0.500)
Cr (0.500, 0.500, 0.000)

E above lowest polymorph, meV/atom: 319
Space group: Cmmm, No. 65


Below is a relaxed LiAcLa2 crystal, with properties calculated at the PBE level.

a b c (Å): 12.069 12.069 12.069
angles (deg): 17.94 17.94 17.94
Sites, in units of the cell vectors:
Li (0.000, 0.000, 0.000)
Ac (0.167, 0.167, 0.167)
La (0.411, 0.411, 0.411)
La (0.589, 0.589, 0.589)

E above lowest polymorph, meV/atom: 66
Space group: R3m, No. 160


Below is a relaxed Ho2AlZn2Pd5 crystal, with properties calculated at the PBE level.

a b c (Å): 9.752 9.752 3.661
angles (deg): 90.00 90.00 90.00
Sites, in units of the cell vectors:
Ho (0.174, 0.326, 0.000)
Ho (0.326, 0.826, 0.000)
Ho (0.674, 0.174, 0.000)
Ho (0.826, 0.674, 0.000)
Al (0.000, 0.000, 0.000)
Al (0.500, 0.500, 0.000)
Zn (0.124, 0.624, 0.000)
Zn (0.376, 0.124, 0.000)
Zn (0.624, 0.876, 0.000)
Zn (0.876, 0.376, 0.000)
Pd (0.000, 0.500, 0.500)
Pd (0.062, 0.800, 0.500)
Pd (0.200, 0.062, 0.500)
Pd (0.300, 0.562, 0.500)
Pd (0.438, 0.300, 0.500)
Pd (0.500, 0.000, 0.500)
Pd (0.562, 0.700, 0.500)
Pd (0.700, 0.438, 0.500)
Pd (0.800, 0.938, 0.500)
Pd (0.938, 0.200, 0.500)

Final energy, eV for the cell shown: -97.64
Space group: P4/mbm, No. 127


Below is a relaxed RbMgBiO4 crystal, with properties calculated at the PBE level.

a b c (Å): 5.882 5.823 7.478
angles (deg): 90.00 103.00 90.00
Sites, in units of the cell vectors:
Rb (0.158, 0.250, 0.096)
Rb (0.842, 0.750, 0.904)
Mg (0.401, 0.250, 0.662)
Mg (0.599, 0.750, 0.338)
Bi (0.159, 0.750, 0.462)
Bi (0.841, 0.250, 0.538)
O (0.140, 0.019, 0.666)
O (0.140, 0.481, 0.666)
O (0.265, 0.750, 0.209)
O (0.482, 0.250, 0.419)
O (0.518, 0.750, 0.581)
O (0.735, 0.250, 0.791)
O (0.860, 0.519, 0.334)
O (0.860, 0.981, 0.334)

Raw formation energy, eV/atom: -1.43
Space group: P2_1/m, No. 11


Below is a relaxed Tl2HPdI crystal, with properties calculated at the PBE level.

a b c (Å): 5.791 5.791 3.727
angles (deg): 90.00 90.00 90.00
Sites, in units of the cell vectors:
Tl (0.000, 0.500, 0.000)
Tl (0.500, 0.000, 0.000)
H (0.000, 0.000, 0.500)
Pd (0.000, 0.000, 0.000)
I (0.500, 0.500, 0.500)

Final energy, eV for the cell shown: -15.67
Space group: P4/mmm, No. 123


Below is a relaxed ScAsSe2 crystal, with properties calculated at the PBE level.

a b c (Å): 4.864 4.864 4.855
angles (deg): 110.75 110.75 106.76
Sites, in units of the cell vectors:
Sc (0.000, 0.000, 0.000)
As (0.500, 0.500, 0.000)
Se (0.000, 0.500, 0.500)
Se (0.500, 0.000, 0.500)

Raw formation energy, eV/atom: -0.62
Space group: C2/m, No. 12


Below is a relaxed Cs2K3NaBr6 crystal, with properties calculated at the PBE level.

a b c (Å): 8.419 8.419 8.350
angles (deg): 99.73 99.73 120.01
Sites, in units of the cell vectors:
Cs (0.167, 0.833, 0.000)
Cs (0.833, 0.167, 0.000)
K (0.000, 0.000, 0.500)
K (0.331, 0.669, 0.500)
K (0.669, 0.331, 0.500)
Na (0.500, 0.500, 0.000)
Br (0.105, 0.411, 0.737)
Br (0.292, 0.292, 0.245)
Br (0.411, 0.105, 0.737)
Br (0.589, 0.895, 0.263)
Br (0.708, 0.708, 0.755)
Br (0.895, 0.589, 0.263)

Raw formation energy, eV/atom: -1.70
Space group: C2/m, No. 12


Below is a relaxed PrEr4Co4 crystal, with properties calculated at the PBE level.

a b c (Å): 8.488 8.488 5.489
angles (deg): 90.00 90.00 90.00
Sites, in units of the cell vectors:
Pr (0.250, 0.250, 0.250)
Pr (0.750, 0.750, 0.750)
Er (0.069, 0.670, 0.136)
Er (0.170, 0.931, 0.636)
Er (0.330, 0.569, 0.636)
Er (0.431, 0.830, 0.136)
Er (0.569, 0.170, 0.864)
Er (0.670, 0.431, 0.364)
Er (0.830, 0.069, 0.364)
Er (0.931, 0.330, 0.864)
Co (0.020, 0.609, 0.622)
Co (0.109, 0.980, 0.122)
Co (0.391, 0.520, 0.122)
Co (0.480, 0.891, 0.622)
Co (0.520, 0.109, 0.378)
Co (0.609, 0.480, 0.878)
Co (0.891, 0.020, 0.878)
Co (0.980, 0.391, 0.378)

Final energy, eV for the cell shown: -103.86
Space group: P4_2/n, No. 86


Below is a relaxed TaAgIr4 crystal, with properties calculated at the PBE level.

a b c (Å): 5.174 5.174 5.174
angles (deg): 60.00 60.00 60.00
Sites, in units of the cell vectors:
Ta (0.000, 0.000, 0.000)
Ag (0.750, 0.750, 0.750)
Ir (0.375, 0.375, 0.375)
Ir (0.375, 0.375, 0.874)
Ir (0.375, 0.874, 0.375)
Ir (0.874, 0.375, 0.375)

Final energy, eV for the cell shown: -49.90
Space group: F-43m, No. 216


Below is a relaxed La2Sm3Er crystal, with properties calculated at the PBE level.

a b c (Å): 6.785 6.785 9.177
angles (deg): 97.86 97.86 95.09
Sites, in units of the cell vectors:
La (0.122, 0.627, 0.876)
La (0.373, 0.878, 0.624)
La (0.627, 0.122, 0.376)
La (0.878, 0.373, 0.124)
Sm (0.167, 0.334, 0.500)
Sm (0.334, 0.167, 0.000)
Sm (0.416, 0.584, 0.250)
Sm (0.584, 0.416, 0.750)
Sm (0.666, 0.833, 0.000)
Sm (0.833, 0.666, 0.500)
Er (0.083, 0.917, 0.250)
Er (0.917, 0.083, 0.750)

E above lowest polymorph, meV/atom: 0
Space group: C2/c, No. 15


Below is a relaxed CuHg2Se2 crystal, with properties calculated at the PBE level.

a b c (Å): 7.382 7.382 4.388
angles (deg): 90.00 90.00 90.00
Sites, in units of the cell vectors:
Cu (0.000, 0.000, 0.000)
Cu (0.500, 0.500, 0.000)
Hg (0.132, 0.368, 0.500)
Hg (0.368, 0.868, 0.500)
Hg (0.632, 0.132, 0.500)
Hg (0.868, 0.632, 0.500)
Se (0.214, 0.714, 0.000)
Se (0.286, 0.214, 0.000)
Se (0.714, 0.786, 0.000)
Se (0.786, 0.286, 0.000)

Raw formation energy, eV/atom: 0.11
Space group: P4/mbm, No. 127


Below is a relaxed USi4Ni2Ru crystal, with properties calculated at the PBE level.

a b c (Å): 8.945 8.945 8.945
angles (deg): 25.33 25.33 25.33
Sites, in units of the cell vectors:
U (0.000, 0.000, 0.000)
Si (0.123, 0.123, 0.123)
Si (0.402, 0.402, 0.402)
Si (0.598, 0.598, 0.598)
Si (0.877, 0.877, 0.877)
Ni (0.236, 0.236, 0.236)
Ni (0.764, 0.764, 0.764)
Ru (0.500, 0.500, 0.500)

Raw formation energy, eV/atom: -0.39
Space group: R-3m, No. 166


Below is a relaxed TeP2Ir crystal, with properties calculated at the PBE level.

a b c (Å): 3.966 3.966 6.293
angles (deg): 98.19 98.19 54.27
Sites, in units of the cell vectors:
Te (0.000, 0.000, 0.000)
P (0.334, 0.334, 0.714)
P (0.451, 0.451, 0.417)
Ir (0.753, 0.753, 0.281)

Raw formation energy, eV/atom: 0.04
Space group: Cm, No. 8


Below is a relaxed Mg3Si4 crystal, with properties calculated at the PBE level.

a b c (Å): 5.729 7.072 7.272
angles (deg): 113.11 96.67 103.14
Sites, in units of the cell vectors:
Mg (0.000, 0.000, 0.000)
Mg (0.015, 0.416, 0.324)
Mg (0.295, 0.842, 0.310)
Mg (0.386, 0.688, 0.846)
Mg (0.477, 0.144, 0.788)
Mg (0.909, 0.099, 0.509)
Si (0.043, 0.783, 0.613)
Si (0.105, 0.392, 0.954)
Si (0.377, 0.280, 0.473)
Si (0.505, 0.481, 0.200)
Si (0.557, 0.129, 0.178)
Si (0.619, 0.762, 0.562)
Si (0.796, 0.490, 0.695)
Si (0.836, 0.633, 0.063)

Raw formation energy, eV/atom: 0.08
E above lowest polymorph, meV/atom: 25
Space group: P1, No. 1


Below is a relaxed ErZrMn2 crystal, with properties calculated at the PBE level.

a b c (Å): 3.377 3.377 6.668
angles (deg): 90.00 90.00 90.00
Sites, in units of the cell vectors:
Er (0.000, 0.000, 0.000)
Zr (0.000, 0.000, 0.500)
Mn (0.500, 0.500, 0.288)
Mn (0.500, 0.500, 0.712)

Final energy, eV for the cell shown: -31.14
Space group: P4/mmm, No. 123